Record 1
This record from Alexandria via LeMat-Bulk describes a geometry-optimized ReTeOs structure. The functional is PBE.

Summary:
Excess energy over the best structure of this formula in the dataset   0.32 eV per formula unit
Calculated volume   19.55 Å³ per atom
ΔE_f (raw)   2.31 eV/f.u.
Total moment   0.0 μB/cell

Cell: 6.167 6.167 6.167 Å, 90.00 90.00 90.00°
Space group F-43m (No. 216)
Asymmetric unit:
Re1 0.000 0.000 0.000 [4 per cell]
Te1 0.250 0.250 0.250 [4 per cell]
Os1 0.250 0.250 0.750 [4 per cell]

Record 2
This record from Alexandria via LeMat-Bulk describes a geometry-optimized ReTeOs2 structure. The functional is PBE.

Summary:
Calculated volume   16.21 Å³ per atom
ΔE_f (raw)   3.40 eV/f.u.
Total moment   0.0 μB/cell

Cell: 5.932 7.429 2.942 Å, 90.00 90.00 90.00°
Space group Cmmm (No. 65)
Asymmetric unit:
Re1 0.000 0.000 0.000 [2 per cell]
Te1 0.000 0.500 0.000 [2 per cell]
Os1 0.250 0.250 0.500 [4 per cell]

Record 3
This record from Alexandria via LeMat-Bulk describes a geometry-optimized Th8ReTe4Os3 structure. The functional is PBE.

Summary:
Calculated volume   29.36 Å³ per atom
ΔE_f (raw)   -11.94 eV/f.u.
Total moment   0.0 μB/cell

Cell: 8.4091 8.4091 23.0123 Å, 90.00 90.00 120.00°
Space group R-3m (No. 166, hexagonal axes)
Asymmetric unit:
Th1 0.0000 0.0000 0.2325 [6 per cell]
Th2 0.0011 0.5005 0.2330 [18 per cell]
Re1 0.0000 0.0000 0.5000 [3 per cell]
Te1 0.0000 0.0000 0.0000 [3 per cell]
Te2 0.0000 0.5000 0.0000 [9 per cell]
Os1 0.0000 0.5000 0.5000 [9 per cell]

Record 4
This record from Alexandria via LeMat-Bulk describes a geometry-optimized Th8ReOs2 structure. The functional is PBE.

Summary:
Formation energy   -26.2 meV/atom
Calculated volume   28.70 Å³ per atom
Total moment   0.0 μB/cell

Cell: 8.275 13.050 6.230 Å, 90.00 110.23 90.00°
Space group Cm (No. 8)
Asymmetric unit:
Th1 0.000 0.000 0.000 [2 per cell]
Th2 0.083 0.375 0.808 [4 per cell]
Th3 0.142 0.128 0.584 [4 per cell]
Th4 0.224 0.500 0.361 [2 per cell]
Th5 0.373 0.209 0.188 [4 per cell]
Re1 0.358 0.000 0.004 [2 per cell]
Os1 0.353 0.307 0.683 [4 per cell]

Record 5
This record from Alexandria via LeMat-Bulk describes a geometry-optimized ThReOs structure. The functional is PBE.

Summary:
Excess energy over the best structure of this formula in the dataset   0.90 eV per formula unit
Formation energy   111.2 meV/atom
Calculated volume   19.61 Å³ per atom
Total moment   0.0 μB/cell

Cell: 3.186 16.395 4.504 Å, 90.00 90.00 90.00°
Space group Cmcm (No. 63)
Asymmetric unit:
Th1 0.000 0.069 0.250 [4 per cell]
Re1 0.000 0.256 0.750 [4 per cell]
Os1 0.000 0.371 0.250 [4 per cell]

Record 6
This record from Alexandria via LeMat-Bulk describes a geometry-optimized ThReOs structure. The functional is PBE.

Summary:
Excess energy over the best structure of this formula in the dataset   0.00 eV per formula unit
Formation energy   -188.9 meV/atom
Calculated volume   19.60 Å³ per atom
Total moment   0.0 μB/cell

Cell: 5.185 5.796 7.825 Å, 90.00 90.00 90.00°
Space group Imma (No. 74)
Asymmetric unit:
Th1 0.000 0.250 0.124 [4 per cell]
Re1 0.250 0.250 0.750 [4 per cell]
Os1 0.000 0.000 0.500 [4 per cell]

Record 7
This record from Alexandria via LeMat-Bulk describes a geometry-optimized Th2ReOs structure. The functional is PBE.

Summary:
Formation energy   879.9 meV/atom
Calculated volume   22.70 Å³ per atom
Total moment   0.0 μB/cell

Cell: 3.2413 3.2413 29.9423 Å, 90.00 90.00 120.00°
Space group R-3m (No. 166, hexagonal axes)
Asymmetric unit:
Th1 0.0000 0.0000 0.0885 [6 per cell]
Re1 0.0000 0.0000 0.0000 [3 per cell]
Os1 0.0000 0.0000 0.5000 [3 per cell]

Record 8
This record from Alexandria via LeMat-Bulk describes a geometry-optimized Ti6Re5Os structure. The functional is PBE.

Summary:
Formation energy   -452.9 meV/atom
Calculated volume   15.05 Å³ per atom
Total moment   0.0 μB/cell

Cell: 4.395 13.187 6.233 Å, 90.00 90.00 90.00°
Space group Cmmm (No. 65)
Asymmetric unit:
Ti1 0.000 0.000 0.249 [4 per cell]
Ti2 0.000 0.334 0.249 [8 per cell]
Re1 0.000 0.166 0.500 [4 per cell]
Re2 0.000 0.167 0.000 [4 per cell]
Re3 0.000 0.500 0.500 [2 per cell]
Os1 0.000 0.500 0.000 [2 per cell]